Entry from Alexandria: a geometry-optimized SrB2F structure (PBE).

Geometry as CIF:
```
data_SrB2F
_space_group_name_H-M_alt 'I 41/a m d'
_space_group_IT_number 141
_cell_length_a 3.338
_cell_length_b 3.338
_cell_length_c 22.767
_cell_angle_alpha 90.00
_cell_angle_beta 90.00
_cell_angle_gamma 90.00
loop_
_space_group_symop_operation_xyz
'x,y,z'
'-x,-y,-z'
'-y+1/4,x+3/4,z+1/4'
'y+1/4,-x+3/4,-z+1/4'
'-x+1/2,-y,z+1/2'
'x+1/2,y,-z+1/2'
'y+1/4,-x+1/4,z+3/4'
'-y+1/4,x+1/4,-z+3/4'
'x,-y,-z'
'-x,y,z'
'-y+1/4,-x+1/4,-z+3/4'
'y+1/4,x+1/4,z+3/4'
'-x+1/2,y,-z+1/2'
'x+1/2,-y,z+1/2'
'y+1/4,x+3/4,-z+1/4'
'-y+1/4,-x+3/4,z+1/4'
'x+1/2,y+1/2,z+1/2'
'-x+1/2,-y+1/2,-z+1/2'
'-y+3/4,x+1/4,z+3/4'
'y+3/4,-x+1/4,-z+3/4'
'-x,-y+1/2,z'
'x,y+1/2,-z'
'y+3/4,-x+3/4,z+1/4'
'-y+3/4,x+3/4,-z+1/4'
'x+1/2,-y+1/2,-z+1/2'
'-x+1/2,y+1/2,z+1/2'
'-y+3/4,-x+3/4,-z+1/4'
'y+3/4,x+3/4,z+1/4'
'-x,y+1/2,-z'
'x,-y+1/2,z'
'y+3/4,x+1/4,-z+3/4'
'-y+3/4,-x+1/4,z+3/4'
loop_
_atom_site_label
_atom_site_fract_x
_atom_site_fract_y
_atom_site_fract_z
Sr1 0.000 0.250 0.375
B1 0.000 0.000 0.000
F1 0.000 0.250 0.875
```

Calculated values
- ΔE_f (raw): -3.55 eV/f.u.
- DOS at the Fermi energy: 4.90 states/eV per cell
- Calculated total energy: -81.8 eV/cell
- Excess energy over the best structure of this formula in the dataset: 0 meV/atom